1.
Material: MnCuNi2
Method: DFT, PBE
State: relaxed

```
data_MnCuNi2
_chemical_formula_sum 'Mn2 Cu2 Ni4'
_cell_length_a 3.558
_cell_length_b 3.558
_cell_length_c 7.350
_cell_angle_alpha 90.00
_cell_angle_beta 90.00
_cell_angle_gamma 90.00
_symmetry_space_group_name_H-M 'I -4 m 2'
_symmetry_Int_Tables_number 119
_symmetry_space_group_name_Hall 'I -4 -2'
loop_
_atom_site_label
_atom_site_type_symbol
_atom_site_fract_x
_atom_site_fract_y
_atom_site_fract_z
Mn1 Mn 0.000 0.000 0.000
Cu1 Cu 0.000 0.500 0.750
Ni1 Ni 0.000 0.000 0.500
Ni2 Ni 0.000 0.500 0.250
```

- V: 11.63 Å³/atom
- Fermi-level density of states: 9.5 states/eV/cell
- VASP energy: -6.23 eV/atom
- Calculated formation energy: -25 meV/atom


2.
Material: Cd3InAg5
Method: DFT, PBE
State: relaxed

```
data_Cd3InAg5
_chemical_formula_sum 'Cd6 In2 Ag10'
_cell_length_a 8.3323
_cell_length_b 8.3323
_cell_length_c 5.9511
_cell_angle_alpha 90.00
_cell_angle_beta 90.00
_cell_angle_gamma 120.00
_symmetry_space_group_name_H-M 'P 63/m c m'
_symmetry_Int_Tables_number 193
_symmetry_space_group_name_Hall '-P 6c 2'
loop_
_atom_site_label
_atom_site_type_symbol
_atom_site_fract_x
_atom_site_fract_y
_atom_site_fract_z
Cd1 Cd 0.0000 0.3597 0.2500
In1 In 0.0000 0.0000 0.0000
Ag1 Ag 0.0000 0.3121 0.7500
Ag2 Ag 0.3333 0.6667 0.0000
```

- V: 19.88 Å³/atom
- Fermi-level density of states: 5.6 states/eV/cell
- VASP energy: -2.18 eV/atom
- Energy above the lowest structure with this stoichiometry: 0.00 eV/f.u.
- Calculated formation energy: 15 meV/atom


3.
Material: AlSiSb
Method: DFT, PBE
State: relaxed

```
data_AlSiSb
_chemical_formula_sum 'Al4 Si4 Sb4'
_cell_length_a 6.492
_cell_length_b 6.492
_cell_length_c 6.492
_cell_angle_alpha 90.00
_cell_angle_beta 90.00
_cell_angle_gamma 90.00
_symmetry_space_group_name_H-M 'F -4 3 m'
_symmetry_Int_Tables_number 216
_symmetry_space_group_name_Hall 'F -4 2 3'
loop_
_atom_site_label
_atom_site_type_symbol
_atom_site_fract_x
_atom_site_fract_y
_atom_site_fract_z
Al1 Al 0.000 0.000 0.000
Si1 Si 0.250 0.250 0.250
Sb1 Sb 0.000 0.000 0.500
```

- V: 22.80 Å³/atom
- Fermi-level density of states: 2.5 states/eV/cell
- Uncorrected formation energy: 0.378 eV per atom
- VASP energy: -4.05 eV/atom
- Energy above the lowest structure with this stoichiometry: 0.43 eV/f.u.


4.
Material: BeInTc2
Method: DFT, PBE
State: relaxed

```
data_BeInTc2
_chemical_formula_sum 'Be2 In2 Tc4'
_cell_length_a 4.360
_cell_length_b 4.360
_cell_length_c 6.193
_cell_angle_alpha 90.00
_cell_angle_beta 90.00
_cell_angle_gamma 90.00
_symmetry_space_group_name_H-M 'I -4 m 2'
_symmetry_Int_Tables_number 119
_symmetry_space_group_name_Hall 'I -4 -2'
loop_
_atom_site_label
_atom_site_type_symbol
_atom_site_fract_x
_atom_site_fract_y
_atom_site_fract_z
Be1 Be 0.000 0.000 0.000
In1 In 0.000 0.500 0.750
Tc1 Tc 0.000 0.000 0.500
Tc2 Tc 0.000 0.500 0.250
```

- V: 14.71 Å³/atom
- Fermi-level density of states: 4.8 states/eV/cell
- VASP energy: -6.55 eV/atom
- Energy above the lowest structure with this stoichiometry: 1.03 eV/f.u.
- Calculated formation energy: 245 meV/atom


5.
Material: MgHPd3
Method: DFT, PBE
State: relaxed

```
data_MgHPd3
_chemical_formula_sum 'Mg2 H2 Pd6'
_cell_length_a 5.598
_cell_length_b 4.141
_cell_length_c 5.605
_cell_angle_alpha 90.00
_cell_angle_beta 91.18
_cell_angle_gamma 90.00
_symmetry_space_group_name_H-M 'P 1 m 1'
_symmetry_Int_Tables_number 6
loop_
_symmetry_equiv_pos_as_xyz
'x,y,z'
'x,-y,z'
loop_
_atom_site_label
_atom_site_type_symbol
_atom_site_fract_x
_atom_site_fract_y
_atom_site_fract_z
Mg1 Mg 0.000 0.000 0.000
Mg2 Mg 0.494 0.000 0.505
H1 H 0.962 0.500 0.030
H2 H 0.999 0.500 0.511
Pd1 Pd 0.241 0.500 0.246
Pd2 Pd 0.256 0.500 0.749
Pd3 Pd 0.496 0.000 0.004
Pd4 Pd 0.734 0.500 0.260
Pd5 Pd 0.749 0.500 0.761
Pd6 Pd 0.996 0.000 0.504
```

- V: 12.99 Å³/atom
- Fermi-level density of states: 6.3 states/eV/cell
- VASP energy: -4.53 eV/atom
- Energy above the lowest structure with this stoichiometry: 0.19 eV/f.u.


6.
Material: Te2MoAs
Method: DFT, PBE
State: relaxed

```
data_Te2MoAs
_chemical_formula_sum 'Te4 Mo2 As2'
_cell_length_a 8.775
_cell_length_b 3.508
_cell_length_c 5.979
_cell_angle_alpha 90.00
_cell_angle_beta 99.70
_cell_angle_gamma 90.00
_symmetry_space_group_name_H-M 'C 1 2/m 1'
_symmetry_Int_Tables_number 12
loop_
_symmetry_equiv_pos_as_xyz
'x,y,z'
'-x,-y,-z'
'-x,y,-z'
'x,-y,z'
'x+1/2,y+1/2,z'
'-x+1/2,-y+1/2,-z'
'-x+1/2,y+1/2,-z'
'x+1/2,-y+1/2,z'
loop_
_atom_site_label
_atom_site_type_symbol
_atom_site_fract_x
_atom_site_fract_y
_atom_site_fract_z
Te1 Te 0.224 0.000 0.216
Mo1 Mo 0.000 0.500 0.000
As1 As 0.000 0.000 0.500
```

- V: 22.68 Å³/atom
- Fermi-level density of states: 5.6 states/eV/cell
- Uncorrected formation energy: 0.418 eV per atom
- VASP energy: -5.02 eV/atom


7.
Material: Li2CaMg
Method: DFT, PBE
State: relaxed

```
data_Li2CaMg
_chemical_formula_sum 'Li2 Ca1 Mg1'
_cell_length_a 4.957
_cell_length_b 4.957
_cell_length_c 4.315
_cell_angle_alpha 90.00
_cell_angle_beta 90.00
_cell_angle_gamma 90.00
_symmetry_space_group_name_H-M 'P 4/m m m'
_symmetry_Int_Tables_number 123
_symmetry_space_group_name_Hall '-P 4 2'
loop_
_atom_site_label
_atom_site_type_symbol
_atom_site_fract_x
_atom_site_fract_y
_atom_site_fract_z
Li1 Li 0.000 0.500 0.000
Ca1 Ca 0.000 0.000 0.500
Mg1 Mg 0.500 0.500 0.500
```

- V: 26.50 Å³/atom
- Fermi-level density of states: 2.5 states/eV/cell
- VASP energy: -1.83 eV/atom
- Calculated formation energy: 28 meV/atom


8.
Material: ZnHgSb2Te
Method: DFT, PBE
State: relaxed

```
data_ZnHgSb2Te
_chemical_formula_sum 'Zn1 Hg1 Sb2 Te1'
_cell_length_a 5.579
_cell_length_b 5.579
_cell_length_c 5.739
_cell_angle_alpha 90.00
_cell_angle_beta 90.00
_cell_angle_gamma 90.00
_symmetry_space_group_name_H-M 'P 4/m m m'
_symmetry_Int_Tables_number 123
_symmetry_space_group_name_Hall '-P 4 2'
loop_
_atom_site_label
_atom_site_type_symbol
_atom_site_fract_x
_atom_site_fract_y
_atom_site_fract_z
Zn1 Zn 0.000 0.000 0.000
Hg1 Hg 0.500 0.500 0.500
Sb1 Sb 0.000 0.500 0.500
Te1 Te 0.500 0.500 0.000
```

- V: 35.73 Å³/atom
- Fermi-level density of states: 5.9 states/eV/cell
- Uncorrected formation energy: 0.848 eV per atom
- VASP energy: -1.74 eV/atom
- Energy above the lowest structure with this stoichiometry: 1.81 eV/f.u.


9.
Material: Er3In12Au5
Method: DFT, PBE
State: relaxed

```
data_Er3In12Au5
_chemical_formula_sum 'Er24 In96 Au40'
_cell_length_a 16.905
_cell_length_b 16.905
_cell_length_c 16.905
_cell_angle_alpha 90.00
_cell_angle_beta 90.00
_cell_angle_gamma 90.00
_symmetry_space_group_name_H-M 'I a -3 d'
_symmetry_Int_Tables_number 230
_symmetry_space_group_name_Hall '-I 4bd 2c 3'
loop_
_atom_site_label
_atom_site_type_symbol
_atom_site_fract_x
_atom_site_fract_y
_atom_site_fract_z
Er1 Er 0.000 0.250 0.125
In1 In 0.026 0.072 0.646
Au1 Au 0.000 0.000 0.000
Au2 Au 0.000 0.250 0.375
```

- V: 30.20 Å³/atom
- Fermi-level density of states: 74.1 states/eV/cell
- VASP energy: -3.11 eV/atom
- Calculated formation energy: 37 meV/atom


10.
Material: CdTcP2S
Method: DFT, PBE
State: relaxed

```
data_CdTcP2S
_chemical_formula_sum 'Cd1 Tc1 P2 S1'
_cell_length_a 4.907
_cell_length_b 4.907
_cell_length_c 4.923
_cell_angle_alpha 90.00
_cell_angle_beta 90.00
_cell_angle_gamma 90.00
_symmetry_space_group_name_H-M 'P 4/m m m'
_symmetry_Int_Tables_number 123
_symmetry_space_group_name_Hall '-P 4 2'
loop_
_atom_site_label
_atom_site_type_symbol
_atom_site_fract_x
_atom_site_fract_y
_atom_site_fract_z
Cd1 Cd 0.000 0.000 0.000
Tc1 Tc 0.500 0.500 0.500
P1 P 0.000 0.500 0.000
S1 S 0.000 0.000 0.500
```

- V: 23.71 Å³/atom
- Fermi-level density of states: 2.8 states/eV/cell
- Uncorrected formation energy: 1.605 eV per atom
- VASP energy: -3.64 eV/atom
- Energy above the lowest structure with this stoichiometry: 6.16 eV/f.u.


11.
Material: UPaNi2
Method: DFT, PBE
State: relaxed

```
data_UPaNi2
_chemical_formula_sum 'U3 Pa3 Ni6'
_cell_length_a 2.9579
_cell_length_b 2.9579
_cell_length_c 28.8796
_cell_angle_alpha 90.00
_cell_angle_beta 90.00
_cell_angle_gamma 120.00
_symmetry_space_group_name_H-M 'R -3 m'
_symmetry_Int_Tables_number 166
_symmetry_space_group_name_Hall '-R 3 2"'
loop_
_atom_site_label
_atom_site_type_symbol
_atom_site_fract_x
_atom_site_fract_y
_atom_site_fract_z
U1 U 0.0000 0.0000 0.0000
Pa1 Pa 0.0000 0.0000 0.5000
Ni1 Ni 0.0000 0.0000 0.0821
```

- V: 18.23 Å³/atom
- Fermi-level density of states: 26.6 states/eV/cell
- VASP energy: -7.69 eV/atom
- Calculated formation energy: 399 meV/atom


12.
Material: FeS
Method: DFT, PBE
State: relaxed

```
data_FeS
_chemical_formula_sum 'Fe4 S4'
_cell_length_a 6.440
_cell_length_b 6.440
_cell_length_c 2.961
_cell_angle_alpha 90.00
_cell_angle_beta 90.00
_cell_angle_gamma 90.00
_symmetry_space_group_name_H-M 'P 42/m n m'
_symmetry_Int_Tables_number 136
_symmetry_space_group_name_Hall '-P 4n 2n'
loop_
_atom_site_label
_atom_site_type_symbol
_atom_site_fract_x
_atom_site_fract_y
_atom_site_fract_z
Fe1 Fe 0.140 0.140 0.000
S1 S 0.191 0.809 0.000
```

- V: 15.35 Å³/atom
- Fermi-level density of states: 8.1 states/eV/cell
- Uncorrected formation energy: -0.266 eV per atom
- VASP energy: -6.56 eV/atom